{"formula": "NpICl6", "functional": "PBE", "state": "optimized geometry", "cell": [[8.206, -0.211, 1.328], [-1.747, 5.927, 3.268], [0.236, -0.155, 6.984]], "species": ["Cl", "Cl", "Cl", "Cl", "Cl", "Cl", "I", "Np"], "frac_coords": [[0.332, 0.114, 0.886], [0.695, 0.608, 0.687], [0.695, 0.313, 0.392], [0.305, 0.392, 0.313], [0.668, 0.886, 0.114], [0.305, 0.687, 0.608], [0.000, 0.000, 0.000], [0.500, 0.500, 0.500]], "rho_g_cm3": 2.820, "dos_at_fermi_per_ev_atom": 0.66, "total_magnetization_mub_per_fu": 2.00, "spacegroup": "C2/m", "total_energy_ev_per_atom": -4.3031, "formation_energy_uncorrected_ev_per_atom": -1.107}

***

{"formula": "NpI2Cl3", "functional": "PBE", "state": "optimized geometry", "cell": [[5.211, 0.000, 1.141], [2.018, 7.755, 3.255], [0.875, 1.498, 8.474]], "species": ["Cl", "Cl", "Cl", "I", "I", "Np"], "frac_coords": [[0.920, 0.365, 0.795], [0.296, 0.704, 0.704], [0.920, 0.795, 0.365], [0.654, 0.602, 0.091], [0.654, 0.091, 0.602], [0.799, 0.701, 0.701]], "rho_g_cm3": 3.171, "dos_at_fermi_per_ev_atom": 0.92, "total_magnetization_mub_per_fu": 2.00, "spacegroup": "Imm2", "total_energy_ev_per_atom": -4.7059, "formation_energy_uncorrected_ev_per_atom": -1.109}

***

{"formula": "NpI2Cl", "functional": "PBE", "state": "optimized geometry", "cell": [[-3.791, 2.431, 0.047], [-2.800, -4.333, -1.672], [-3.282, -1.109, 7.894]], "species": ["I", "I", "Np", "Cl"], "frac_coords": [[0.629, 0.007, 0.741], [0.371, 0.993, 0.259], [0.000, 0.000, 0.000], [0.000, 0.500, 0.000]], "rho_g_cm3": 4.299, "dos_at_fermi_per_ev_atom": 2.04, "polymorph_energy_ev_per_atom": 0.000, "total_magnetization_mub_per_fu": 4.00, "spacegroup": "C2/m", "total_energy_ev_per_atom": -5.6057, "formation_energy_uncorrected_ev_per_atom": -1.134}

***

{"formula": "NpI2Cl", "functional": "PBE", "state": "optimized geometry", "cell": [[-1.794, -0.001, 3.578], [-5.295, -4.362, -0.420], [0.967, -6.239, 2.720]], "species": ["I", "I", "Np", "Cl"], "frac_coords": [[0.429, 0.534, 0.607], [0.071, 0.893, 0.966], [0.750, 0.908, 0.592], [0.250, 0.165, 0.335]], "rho_g_cm3": 5.488, "dos_at_fermi_per_ev_atom": 1.66, "polymorph_energy_ev_per_atom": 0.037, "total_magnetization_mub_per_fu": 4.00, "spacegroup": "Imm2", "total_energy_ev_per_atom": -5.5685, "formation_energy_uncorrected_ev_per_atom": -1.097}